[1]
This record from Alexandria describes a relaxed structure of ZrRh3. The functional is PBE.

Computed properties:
Fermi-level density of states = 1.10 states/eV per atom
Symmetry = Pm-3m
Crystal system = cubic
Mass density = 10.64 Mg/m³

a = 3.9671 Å, b = 3.9662 Å, c = 3.9662 Å
α = 90.00°, β = 90.00°, γ = 90.00°
Atoms (fractional coordinates):
Rh: 0.0000 0.5000 0.5000
Rh: 0.5000 0.0000 0.5000
Rh: 0.5000 0.5000 0.0000
Zr: 0.0000 0.0000 0.0000

---

[2]
This record from Alexandria describes a relaxed structure of Sm5U2Se12. The functional is PBE.

Computed properties:
Fermi-level density of states = 0.35 states/eV per atom
ΔE_f (raw) = -1.57 eV per atom
Symmetry = C2/m
Crystal system = monoclinic
Mass density = 6.41 Mg/m³

a = 7.7540 Å, b = 8.9599 Å, c = 9.4347 Å
α = 105.64°, β = 90.00°, γ = 115.64°
Last column: magnetic moment on the atom in μB.
Atoms (fractional coordinates):
Sm: 0.2931 0.5863 0.6358  0.00
Sm: 0.3136 0.6272 0.1780  -0.01
Sm: 0.0000 0.0000 0.5000  -0.01
Sm: 0.6864 0.3728 0.8220  -0.01
Sm: 0.7069 0.4137 0.3642  0.00
U: 0.7448 0.0000 0.0000  1.70
U: 0.2552 0.0000 0.0000  1.70
Se: 0.9918 0.9836 0.1956  -0.06
Se: 0.0914 0.6465 0.9063  -0.04
Se: 0.5552 0.6465 0.9063  -0.04
Se: 0.1055 0.7047 0.4362  -0.01
Se: 0.5992 0.7047 0.4362  -0.01
Se: 0.4973 0.9946 0.7782  -0.05
Se: 0.5027 0.0054 0.2218  -0.05
Se: 0.8945 0.2953 0.5638  -0.01
Se: 0.4008 0.2953 0.5638  -0.01
Se: 0.9086 0.3535 0.0937  -0.04
Se: 0.4448 0.3535 0.0937  -0.04
Se: 0.0082 0.0164 0.8044  -0.06

---

[3]
This record from Alexandria describes a relaxed structure of Ac7Nd2Dy. The functional is PBE.

Computed properties:
Fermi-level density of states = 1.50 states/eV per atom
Symmetry = Cmmm
Crystal system = orthorhombic
Mass density = 6.68 Mg/m³

a = 6.0470 Å, b = 9.7072 Å, c = 9.7072 Å
α = 62.89°, β = 90.00°, γ = 90.00°
Atoms (fractional coordinates):
Ac: 0.0000 0.2406 0.2406
Ac: 0.0000 0.7594 0.7594
Ac: 0.5000 0.9365 0.3065
Ac: 0.5000 0.0635 0.6935
Ac: 0.5000 0.6935 0.0635
Ac: 0.5000 0.3065 0.9365
Ac: 0.5000 0.5000 0.5000
Nd: 0.5000 0.2989 0.2989
Nd: 0.5000 0.7011 0.7011
Dy: 0.0000 0.0000 0.0000

---

[4]
This record from Alexandria describes a relaxed structure of Dy3Tl3VS8. The functional is PBE.

Computed properties:
Fermi-level density of states = 0.39 states/eV per atom
ΔE_f (raw) = -1.29 eV per atom
Symmetry = R-3m
Crystal system = trigonal
Mass density = 5.91 Mg/m³

a = 7.7751 Å, b = 7.7756 Å, c = 8.7868 Å
α = 116.26°, β = 90.00°, γ = 120.00°
Last column: magnetic moment on the atom in μB.
Atoms (fractional coordinates):
Dy: 0.5000 0.0000 0.5000  0.00
Dy: 0.5000 0.5000 0.5000  0.00
Dy: 0.0000 0.5000 0.5000  0.00
Tl: 0.0000 0.0000 0.0000  -0.01
Tl: 0.0000 0.5000 0.0000  -0.01
Tl: 0.5000 0.5000 0.0000  -0.01
V: 0.0000 0.0000 0.5000  1.20
S: 0.2664 0.5327 0.2991  -0.01
S: 0.7336 0.4673 0.7009  -0.01
S: 0.7873 0.5747 0.3135  -0.04
S: 0.2127 0.4253 0.6865  -0.04
S: 0.7873 0.0261 0.3135  -0.04
S: 0.2127 0.9739 0.6865  -0.04
S: 0.2388 0.0261 0.3134  -0.04
S: 0.7612 0.9739 0.6866  -0.04

---

[5]
This record from Alexandria describes a relaxed structure of Be2ZnRu. The functional is PBE.

Computed properties:
Fermi-level density of states = 0.26 states/eV per atom
Symmetry = P4/mmm
Crystal system = tetragonal
Mass density = 6.73 Mg/m³

a = 2.9321 Å, b = 2.9407 Å, c = 6.0457 Å
α = 60.90°, β = 90.00°, γ = 90.00°
Atoms (fractional coordinates):
Ru: 0.5000 0.2500 0.2500
Zn: 0.5000 0.7500 0.7500
Be: 0.0000 0.9555 0.0444
Be: 0.0000 0.5445 0.4556

---

[6]
This record from Alexandria describes a relaxed structure of PuPa2Al9. The functional is PBE.

Computed properties:
Fermi-level density of states = 1.57 states/eV per atom
Symmetry = R-3m
Crystal system = trigonal
Mass density = 6.83 Mg/m³

a = 5.5008 Å, b = 5.5008 Å, c = 9.3628 Å
α = 72.92°, β = 72.92°, γ = 60.00°
Last column: magnetic moment on the atom in μB.
Atoms (fractional coordinates):
Pu: 0.0000 0.0000 0.0000  5.38
Pa: 0.8550 0.8550 0.4350  -0.07
Pa: 0.1450 0.1450 0.5650  -0.07
Al: 0.6650 0.6650 0.0050  0.01
Al: 0.3350 0.3350 0.9950  0.01
Al: 0.5000 0.5000 0.5000  0.00
Al: 0.4135 0.4135 0.2511  -0.01
Al: 0.9220 0.4135 0.2511  -0.01
Al: 0.4135 0.9220 0.2511  -0.01
Al: 0.5865 0.5865 0.7489  -0.01
Al: 0.5865 0.0780 0.7489  -0.01
Al: 0.0780 0.5865 0.7489  -0.01

---

[7]
This record from Alexandria describes a relaxed structure of Y2PuHgO8. The functional is PBE.

Computed properties:
Fermi-level density of states = 0.38 states/eV per atom
ΔE_f (raw) = -2.32 eV per atom
Symmetry = P2/m
Crystal system = monoclinic
Mass density = 6.81 Mg/m³

a = 4.9617 Å, b = 4.9845 Å, c = 7.4066 Å
α = 90.01°, β = 89.99°, γ = 93.35°
Last column: magnetic moment on the atom in μB.
Atoms (fractional coordinates):
Y: 0.5003 0.5002 0.7420  0.00
Y: 0.4997 0.4998 0.2580  0.00
Pu: 0.0000 0.0000 0.0000  0.22
Hg: 0.0000 0.0000 0.5000  0.00
O: 0.1872 0.8093 0.1910  -0.01
O: 0.7033 0.7079 0.0002  -0.01
O: 0.8132 0.1912 0.1911  -0.01
O: 0.8128 0.1907 0.8090  -0.01
O: 0.2967 0.2921 0.9998  -0.01
O: 0.1868 0.8088 0.8089  -0.01
O: 0.6967 0.6972 0.4998  -0.01
O: 0.3033 0.3028 0.5002  -0.01

---

[8]
This record from Alexandria describes a relaxed structure of HW2Au. The functional is PBE.

Computed properties:
Fermi-level density of states = 0.56 states/eV per atom
Symmetry = I-42d
Crystal system = tetragonal
Mass density = 15.58 Mg/m³
Relative energy among the computed polymorphs = 0.0 meV per atom

a = 5.0285 Å, b = 5.0285 Å, c = 5.9488 Å
α = 65.00°, β = 65.00°, γ = 90.00°
Atoms (fractional coordinates):
H: 0.5000 0.5000 0.0000
H: 0.2500 0.7500 0.5000
Au: 0.0000 0.0000 0.0000
Au: 0.7500 0.2500 0.5000
W: 0.4251 0.1250 0.2500
W: 0.3249 0.6250 0.2500
W: 0.3750 0.5749 0.7500
W: 0.8750 0.6751 0.7500

---

[9]
This record from Alexandria describes a relaxed structure of Tl3In4Bi3. The functional is PBE.

Computed properties:
Fermi-level density of states = 0.59 states/eV per atom
Symmetry = I-43d
Crystal system = cubic
Mass density = 8.50 Mg/m³

a = 9.5207 Å, b = 9.5207 Å, c = 9.5207 Å
α = 109.47°, β = 109.47°, γ = 109.47°
Atoms (fractional coordinates):
Tl: 0.6250 0.7500 0.8750
Tl: 0.8750 0.2500 0.6250
Tl: 0.1250 0.3750 0.2500
Tl: 0.3750 0.1250 0.7500
Tl: 0.2500 0.8750 0.1250
Tl: 0.7500 0.6250 0.3750
In: 0.0000 0.0000 0.2899
In: 0.5000 0.2899 0.5000
In: 0.7101 0.2101 0.2101
In: 0.0000 0.0000 0.7899
In: 0.7899 0.5000 0.0000
In: 0.5000 0.7899 0.5000
In: 0.2899 0.5000 0.0000
In: 0.2101 0.7101 0.7101
Bi: 0.1250 0.7500 0.3750
Bi: 0.3750 0.2500 0.1250
Bi: 0.6250 0.8750 0.2500
Bi: 0.8750 0.6250 0.7500
Bi: 0.2500 0.3750 0.6250
Bi: 0.7500 0.1250 0.8750

---

[10]
This record from Alexandria describes a relaxed structure of NaSr3Ga. The functional is PBE.

Computed properties:
Fermi-level density of states = 1.63 states/eV per atom
Symmetry = Pm-3m
Crystal system = cubic
Mass density = 2.33 Mg/m³
Relative energy among the computed polymorphs = 585.6 meV per atom

a = 6.3262 Å, b = 6.3262 Å, c = 6.3262 Å
α = 90.00°, β = 90.00°, γ = 90.00°
Atoms (fractional coordinates):
Sr: 0.0000 0.5000 0.0000
Sr: 0.0000 0.0000 0.5000
Sr: 0.5000 0.0000 0.0000
Ga: 0.5000 0.5000 0.5000
Na: 0.0000 0.0000 0.0000

---

[11]
This record from Alexandria describes a relaxed structure of TiSb2Te. The functional is PBE.

Computed properties:
Fermi-level density of states = 1.35 states/eV per atom
ΔE_f (raw) = 0.31 eV per atom
Symmetry = I-42d
Crystal system = tetragonal
Mass density = 4.79 Mg/m³

a = 6.4459 Å, b = 6.4459 Å, c = 8.3454 Å
α = 67.28°, β = 67.28°, γ = 90.00°
Last column: magnetic moment on the atom in μB.
Atoms (fractional coordinates):
Sb: 0.5750 0.1250 0.2500  -0.01
Sb: 0.1750 0.6250 0.2500  -0.02
Sb: 0.3750 0.4250 0.7500  -0.01
Sb: 0.8750 0.8250 0.7500  -0.01
Te: 0.0000 0.0000 0.0000  0.14
Te: 0.7500 0.2500 0.5000  0.13
Ti: 0.5000 0.5000 0.0000  0.77
Ti: 0.2500 0.7500 0.5000  0.78

---

[12]
This record from Alexandria describes a relaxed structure of Al3Os2. The functional is PBE.

Computed properties:
Fermi-level density of states = 0.66 states/eV per atom
Symmetry = R-3m
Crystal system = trigonal
Mass density = 10.46 Mg/m³
Relative energy among the computed polymorphs = 326.3 meV per atom

a = 10.5562 Å, b = 10.5562 Å, c = 10.5562 Å
α = 15.50°, β = 15.50°, γ = 15.50°
Atoms (fractional coordinates):
Al: 0.0000 0.0000 0.0000
Al: 0.7972 0.7972 0.7972
Al: 0.2028 0.2028 0.2028
Os: 0.3994 0.3994 0.3994
Os: 0.6006 0.6006 0.6006

---

Results for electronic total energy: -33.30; -117.79; -36.81; -82.46; -18.73; -69.87; -95.02; -57.38; -58.12; -6.92; -36.05; -34.53 (in eV/cell, following the order of the records).